(1)
A plane-wave DFT calculation with GGA-PBE was carried out for Ba6Te4As after structural relaxation.

E_form (uncorrected)	-1.45	eV per atom
crystal system	trigonal
total magnetic moment	0.001	μB per atom

a b c (Å): 13.8468 13.8468 17.0219
angles (deg): 90.00 90.00 120.00
Space group R-3c (No. 167, hexagonal axes)
One atom of each set of equivalent atoms:
Ba 0.0347 0.1972 0.3925 [36 per cell]
Te 0.0000 0.0000 0.2500 [6 per cell]
Te 0.0000 0.3807 0.2500 [18 per cell]
As 0.0000 0.0000 0.0000 [6 per cell]


(2)
A plane-wave DFT calculation with GGA-PBE was carried out for Hf8InGa2 after structural relaxation.

crystal system	monoclinic
energy of formation	-0.74	eV/f.u.
total magnetic moment	0.000	μB per atom

a b c (Å): 7.8241 12.5813 5.1923
angles (deg): 90.00 109.98 90.00
Space group C2/m (No. 12)
One atom of each set of equivalent atoms:
Hf 0.0000 0.2385 0.0000 [4 per cell]
Hf 0.0867 0.5000 0.7999 [4 per cell]
Hf 0.2030 0.1187 0.6202 [8 per cell]
In 0.0000 0.0000 0.0000 [2 per cell]
Ga 0.0000 0.3061 0.5000 [4 per cell]


(3)
A plane-wave DFT calculation with GGA-PBE was carried out for Ca3Ga9Pd2 after structural relaxation.

crystal system	orthorhombic
energy of formation	-7.76	eV/f.u.
total magnetic moment	0.000	μB per atom

a b c (Å): 4.3101 9.7754 12.6170
angles (deg): 90.00 90.00 90.00
Space group Immm (No. 71)
One atom of each set of equivalent atoms:
Ca 0.0000 0.0000 0.0000 [2 per cell]
Ca 0.0000 0.0000 0.3006 [4 per cell]
Ga 0.0000 0.2809 0.1354 [8 per cell]
Ga 0.0000 0.3652 0.3424 [8 per cell]
Ga 0.0000 0.5000 0.0000 [2 per cell]
Pd 0.0000 0.1867 0.5000 [4 per cell]


(4)
A plane-wave DFT calculation with GGA-PBE was carried out for BaIrOs2 after structural relaxation.

crystal system	monoclinic
ΔE to the lowest computed polymorph	0.496	eV per atom
energy of formation	3.10	eV/f.u.
total magnetic moment	0.000	μB per atom

a b c (Å): 10.4808 2.8965 6.0105
angles (deg): 90.00 107.04 90.00
Space group C2/m (No. 12)
One atom of each set of equivalent atoms:
Ba 0.0000 0.0000 0.0000 [2 per cell]
Ir 0.0000 0.5000 0.5000 [2 per cell]
Os 0.2157 0.0000 0.6410 [4 per cell]


(5)
A plane-wave DFT calculation with GGA-PBE was carried out for La2AgAs4Rh3 after structural relaxation.

crystal system	tetragonal
energy of formation	-8.70	eV/f.u.
total magnetic moment	0.000	μB per atom

a b c (Å): 4.4116 4.4116 10.0603
angles (deg): 90.00 90.00 90.00
Space group P-4m2 (No. 115)
One atom of each set of equivalent atoms:
La 0.0000 0.5000 0.2434 [2 per cell]
Ag 0.0000 0.0000 0.5000 [1 per cell]
As 0.0000 0.0000 0.0000 [1 per cell]
As 0.0000 0.5000 0.6431 [2 per cell]
As 0.5000 0.5000 0.0000 [1 per cell]
Rh 0.0000 0.5000 0.8870 [2 per cell]
Rh 0.5000 0.5000 0.5000 [1 per cell]


(6)
A plane-wave DFT calculation with GGA-PBE was carried out for Sm5Tl after structural relaxation.

crystal system	orthorhombic
ΔE to the lowest computed polymorph	0.068	eV per atom
energy of formation	-0.22	eV/f.u.
total magnetic moment	0.000	μB per atom

a b c (Å): 5.7870 11.1638 5.8465
angles (deg): 90.00 90.00 90.00
Space group Cmmm (No. 65)
One atom of each set of equivalent atoms:
Sm 0.0000 0.0000 0.0000 [2 per cell]
Sm 0.0000 0.1574 0.5000 [4 per cell]
Sm 0.0000 0.3414 0.0000 [4 per cell]
Tl 0.0000 0.5000 0.5000 [2 per cell]


(7)
A plane-wave DFT calculation with GGA-PBE was carried out for K2LaMn after structural relaxation.

crystal system	monoclinic
ΔE to the lowest computed polymorph	0.297	eV per atom
energy of formation	2.94	eV/f.u.
total magnetic moment	0.967	μB per atom

a b c (Å): 3.7520 6.8920 5.9023
angles (deg): 90.00 93.13 90.00
Space group P2/m (No. 10)
One atom of each set of equivalent atoms:
K 0.2280 0.0000 0.2668 [2 per cell]
La 0.5000 0.5000 0.0000 [1 per cell]
Mn 0.0000 0.5000 0.5000 [1 per cell]


(8)
A plane-wave DFT calculation with GGA-PBE was carried out for K3ErGa2O6 after structural relaxation.

E_form (uncorrected)	-2.01	eV per atom
crystal system	trigonal
total magnetic moment	0.000	μB per atom

a b c (Å): 6.1055 6.1055 7.1142
angles (deg): 90.00 90.00 120.00
Space group P-3m1 (No. 164)
One atom of each set of equivalent atoms:
K 0.0000 0.0000 0.0000 [1 per cell]
K 0.3333 0.6667 0.7481 [2 per cell]
Er 0.0000 0.0000 0.5000 [1 per cell]
Ga 0.3333 0.6667 0.2979 [2 per cell]
O 0.1649 0.3298 0.2975 [6 per cell]